1.
The following is a DFT calculation (GGA-PBE) of a geometry-optimized CaGa3H structure.

Unit cell a=4.439 b=4.439 c=4.439 alpha=90.00 beta=90.00 gamma=90.00
Fractional coordinates of all 5 atoms:
H1 0.000 0.000 0.000
Ca1 0.500 0.500 0.500
Ga1 0.000 0.500 0.000
Ga2 0.000 0.000 0.500
Ga3 0.500 0.000 0.000

ΔE to the lowest computed polymorph = 0 kJ/mol of formula units
DOS(E_F) = 3.5 states/eV/f.u.
total energy = -14.59 eV for the cell shown
magnetic moment = 0.00 μB/f.u.

***

2.
The following is a DFT calculation (GGA-PBE) of a geometry-optimized Ca5Ga2H structure.

Unit cell a=7.320 b=7.320 c=6.660 alpha=123.36 beta=123.36 gamma=89.99
Fractional coordinates of all 8 atoms:
Ca1 0.762 0.247 0.009
Ca2 0.247 0.247 0.009
Ca3 0.762 0.762 0.009
Ca4 0.247 0.761 0.009
Ca5 0.744 0.744 0.487
Ga1 0.255 0.755 0.511
Ga2 0.755 0.255 0.511
H1 0.005 0.005 0.009

DOS(E_F) = 6.2 states/eV/f.u.
total energy = -20.74 eV for the cell shown
magnetic moment = 0.67 μB/f.u.